First-principles (PBE with a Hubbard U) data for a geometry-optimized CdCoN2F structure, as listed in Alexandria via LeMat-Bulk.

Cell: 3.6973 3.6973 4.3011 Å, 90.00 90.00 90.00°
Sites, in units of the cell vectors:
Cd1 0.0000 0.0000 0.0000
Co1 0.5000 0.5000 0.5000
N1 0.0000 0.5000 0.5000
N2 0.5000 0.0000 0.5000
F1 0.5000 0.5000 0.0000

Results
magnetic moment	3.73	Bohr magnetons per cell
energy above the lowest structure with this stoichiometry	0.000	eV/atom